[1]
The following is a DFT calculation (PBE-GGA) of a relaxed structure of AcGeN2Cl.

Summary:
- E_form (uncorrected): -0.828 eV/atom
- Final energy: -31.4 eV/f.u.
- Calculated volume: 22.82 Å³/atom

Structure (CIF):
```
data_AcGeN2Cl
_chemical_formula_sum 'Ac2 Ge2 N4 Cl2'
_space_group_name_H-M_alt 'P 1 21/m 1'
_space_group_IT_number 11
_space_group_name_Hall '-P 2yb'
_cell_length_a 7.7699
_cell_length_b 3.7809
_cell_length_c 7.9867
_cell_angle_alpha 90.00
_cell_angle_beta 103.44
_cell_angle_gamma 90.00
loop_
_atom_site_label
_atom_site_type_symbol
_atom_site_fract_x
_atom_site_fract_y
_atom_site_fract_z
_atom_site_occupancy
Ac1 Ac 0.2036 0.2500 0.4509 1
Ge1 Ge 0.0565 0.2500 0.8887 1
N1 N 0.0009 0.2500 0.6532 1
N2 N 0.1122 0.7500 0.9739 1
Cl1 Cl 0.4564 0.7500 0.6908 1
```

=====

[2]
The following is a DFT calculation (PBE-GGA) of a relaxed structure of RbTcPCl2.

Summary:
- E_form (uncorrected): -0.517 eV/atom
- Final energy: -23.0 eV/f.u.
- Polymorph energy (0 for the lowest one): 0.0000 eV/atom
- Calculated volume: 25.03 Å³/atom

Structure (CIF):
```
data_RbTcPCl2
_chemical_formula_sum 'Rb1 Tc1 P1 Cl2'
_space_group_name_H-M_alt 'P 4/m m m'
_space_group_IT_number 123
_space_group_name_Hall '-P 4 2'
_cell_length_a 5.2397
_cell_length_b 5.2397
_cell_length_c 4.5591
_cell_angle_alpha 90.00
_cell_angle_beta 90.00
_cell_angle_gamma 90.00
loop_
_atom_site_label
_atom_site_type_symbol
_atom_site_fract_x
_atom_site_fract_y
_atom_site_fract_z
_atom_site_occupancy
Rb1 Rb 0.0000 0.0000 0.0000 1
Tc1 Tc 0.5000 0.5000 0.5000 1
P1 P 0.5000 0.5000 0.0000 1
Cl1 Cl 0.0000 0.5000 0.5000 1
```

=====

[3]
The following is a DFT calculation (PBE-GGA) of a relaxed structure of YHgSb4.

Summary:
- E_form (uncorrected): -0.035 eV/atom
- Final energy: -23.5 eV/f.u.
- Calculated volume: 28.93 Å³/atom

Structure (CIF):
```
data_YHgSb4
_chemical_formula_sum 'Y4 Hg4 Sb16'
_space_group_name_H-M_alt 'F -4 3 m'
_space_group_IT_number 216
_space_group_name_Hall 'F -4 2 3'
_cell_length_a 8.8546
_cell_length_b 8.8546
_cell_length_c 8.8546
_cell_angle_alpha 90.00
_cell_angle_beta 90.00
_cell_angle_gamma 90.00
loop_
_atom_site_label
_atom_site_type_symbol
_atom_site_fract_x
_atom_site_fract_y
_atom_site_fract_z
_atom_site_occupancy
Y1 Y 0.0000 0.0000 0.0000 1
Hg1 Hg 0.2500 0.2500 0.7500 1
Sb1 Sb 0.1247 0.1247 0.3753 1
```

=====

[4]
The following is a DFT calculation (PBE-GGA) of a relaxed structure of TbSmSiS.

Summary:
- E_form (uncorrected): -1.368 eV/atom
- Final energy: -24.4 eV/f.u.
- Calculated volume: 24.18 Å³/atom

Structure (CIF):
```
data_TbSmSiS
_chemical_formula_sum 'Tb3 Sm3 Si3 S3'
_space_group_name_H-M_alt 'R 3 m'
_space_group_IT_number 160
_space_group_name_Hall 'R 3 -2"'
_cell_length_a 4.0699
_cell_length_b 4.0699
_cell_length_c 20.2292
_cell_angle_alpha 90.00
_cell_angle_beta 90.00
_cell_angle_gamma 120.00
loop_
_atom_site_label
_atom_site_type_symbol
_atom_site_fract_x
_atom_site_fract_y
_atom_site_fract_z
_atom_site_occupancy
Tb1 Tb 0.0000 0.0000 0.0000 1
Sm1 Sm 0.0000 0.0000 0.4998 1
Si1 Si 0.0000 0.0000 0.7485 1
S1 S 0.0000 0.0000 0.2518 1
```